(1)
Pt3Br4 | PBE-GGA | optimized geometry

Values from the calculation:
Crystal system: hexagonal
ΔE_f (raw) (meV per atom): 811.3
Symmetry: P6/mmm, No. 191

Cell and atoms, written as POSCAR:
```
Pt3Br4
1.0
5.7875 0.0000 0.0000
-2.8937 5.0121 0.0000
0.0000 0.0000 5.0506
Pt Br
3 4
direct
0.0000 0.5000 0.0000
0.5000 0.0000 0.0000
0.5000 0.5000 0.0000
0.0000 0.0000 0.2516
0.0000 0.0000 0.7484
0.3333 0.6667 0.5000
0.6667 0.3333 0.5000
```

(2)
Pt3Br2 | PBE-GGA | optimized geometry

Values from the calculation:
Crystal system: orthorhombic
ΔE_f (raw) (meV per atom): 304.5
Symmetry: Fdd2, No. 43

Cell and atoms, written as POSCAR:
```
Pt3Br2
1.0
0.0000 6.6452 3.5930
4.4879 0.0000 3.5930
4.4879 6.6452 0.0000
Pt Br
6 4
direct
0.0000 0.0000 0.0000
0.2500 0.2500 0.2500
0.2907 0.3390 0.8661
0.3390 0.2907 0.5043
0.3839 0.7457 0.9593
0.7457 0.3839 0.9110
0.2195 0.7607 0.3616
0.5919 0.8884 0.4893
0.7607 0.2195 0.6581
0.8884 0.5919 0.0305
```

(3)
PtBr4 | PBE-GGA | optimized geometry

Values from the calculation:
Crystal system: cubic
ΔE_f (raw) (meV per atom): 231.0
Symmetry: Pm-3m, No. 221

Cell and atoms, written as POSCAR:
```
PtBr4
1.0
5.1465 0.0000 0.0000
0.0000 5.1465 0.0000
0.0000 0.0000 5.1465
Pt Br
1 4
direct
0.0000 0.0000 0.0000
0.0000 0.0000 0.5000
0.0000 0.5000 0.0000
0.5000 0.0000 0.0000
0.5000 0.5000 0.5000
```

(4)
Pt2Br | PBE-GGA | optimized geometry

Values from the calculation:
Crystal system: monoclinic
ΔE_f (raw) (meV per atom): 428.8
Symmetry: C2/m, No. 12

Cell and atoms, written as POSCAR:
```
Pt2Br
1.0
6.0925 -1.5314 0.0000
6.0925 1.5314 0.0000
-4.2497 0.0000 6.0619
Pt Br
4 2
direct
0.0503 0.0503 0.2129
0.3234 0.3234 0.9485
0.6766 0.6766 0.0515
0.9497 0.9497 0.7871
0.3504 0.3504 0.4320
0.6496 0.6496 0.5680
```

(5)
Pt2Br | PBE-GGA | optimized geometry

Values from the calculation:
Crystal system: cubic
ΔE_f (raw) (meV per atom): 1059.1
Symmetry: Fm-3m, No. 225

Cell and atoms, written as POSCAR:
```
Pt2Br
1.0
0.0000 3.0972 3.0972
3.0972 0.0000 3.0972
3.0972 3.0972 0.0000
Pt Br
2 1
direct
0.2500 0.2500 0.2500
0.7500 0.7500 0.7500
0.0000 0.0000 0.0000
```

(6)
Pt2Br | PBE-GGA | optimized geometry

Values from the calculation:
Crystal system: cubic
ΔE_f (raw) (meV per atom): 766.6
Symmetry: Fd-3m, No. 227

Cell and atoms, written as POSCAR:
```
Pt2Br
1.0
0.0000 3.8619 3.8619
3.8619 0.0000 3.8619
3.8619 3.8619 0.0000
Pt Br
4 2
direct
0.0000 0.0000 0.0000
0.0000 0.0000 0.5000
0.0000 0.5000 0.0000
0.5000 0.0000 0.0000
0.3750 0.3750 0.3750
0.6250 0.6250 0.6250
```